# 1
Entry from Alexandria via LeMat-Bulk: a relaxed structure of In2OsPb (GGA-PBE).

Computed properties:
- theoretical density (kg/m3) = 11957
- D(E_F) (states/eV per cell) = 7.768

a b c (Å): 4.611 4.611 8.194
angles (deg): 90.00 90.00 90.00
Space group I4/mmm (No. 139)
One atom of each set of equivalent atoms:
In  0.000  0.500  0.250 (multiplicity 4)
Os  0.000  0.000  0.000 (multiplicity 2)
Pb  0.000  0.000  0.500 (multiplicity 2)


# 2
Entry from Alexandria via LeMat-Bulk: a relaxed structure of NaMnSn2Cl8 (GGA-PBE).

Computed properties:
- theoretical density (kg/m3) = 2873

a b c (Å): 6.408 6.671 8.103
angles (deg): 91.81 90.58 90.23
Space group P-1 (No. 2)
One atom of each set of equivalent atoms:
Na  0.000  0.000  0.000 (multiplicity 1)
Mn  0.000  0.000  0.500 (multiplicity 1)
Sn  0.492  0.467  0.746 (multiplicity 2)
Cl  0.188  0.144  0.298 (multiplicity 2)
Cl  0.206  0.717  0.483 (multiplicity 2)
Cl  0.259  0.152  0.753 (multiplicity 2)
Cl  0.274  0.648  0.006 (multiplicity 2)


no.,VASP energy (eV/atom),calculated volume (A^3/atom),total magnetic moment (μB/cell)
1,-4.39,21.8,0.026
2,-3.88,28.8,3.974